Density functional theory data (GGA-PBE) for a relaxed structure of ReGeSeBr2.

a = 5.225 Å, b = 5.225 Å, c = 4.741 Å
α = 90.00°, β = 90.00°, γ = 90.00°
Sites, in units of the cell vectors:
Ge1 0.500 0.500 0.500
Se1 0.000 0.000 0.500
Br1 0.000 0.500 0.000
Re1 0.000 0.000 0.000
Br2 0.500 0.000 0.000

Magnetic moment, μB per cell: 1.4
ΔE_f (raw), eV/atom: 0.639
N(E_F), states/eV/cell: 5.66
Symmetry: No. 123
E, eV per atom: -4.14
ΔE to the lowest computed polymorph, meV per atom: 0